The following is a DFT calculation (GGA-PBE) of a relaxed TaBeIn2 crystal.

The structure belongs to space group Cmmm (No. 65); the cell edges are 5.706, 8.670 and 3.002 Å and the angles 90.00°, 90.00° and 90.00°. Symmetry generates all atoms from Ta at (0.000, 0.000, 0.000), Be at (0.000, 0.500, 0.000) and In at (0.250, 0.250, 0.500).

Its crystal system is orthorhombic. The value obtained for the energy relative to the elements is 1.7 eV/f.u.